Here is a relaxed Ac2FeGeO6 crystal from the Alexandria database. Energies are from PBE+U.

Values from the calculation:
Symmetry: No. 123
Calculated density, g cm⁻³: 8.8
VASP energy, eV per atom: -7.24

POSCAR file:
```
Ac2FeGeO6
1.0
4.012 0.000 0.000
0.000 5.653 0.000
0.000 0.000 5.653
O Ac Fe Ge
6 2 1 1
Cartesian
2.586 4.328 1.325
2.586 1.325 1.325
0.581 0.000 0.000
2.586 4.328 4.328
0.580 2.827 2.827
2.586 1.325 4.328
0.580 0.000 2.827
0.580 2.827 0.000
2.586 2.827 2.827
2.587 0.000 0.000
```